VASP calculation (GGA-PBE) on an optimized crystal structure of ZrTaSn2. Values from VASP.

Properties
- Total magnetic moment: 0.07 μB per formula unit
- Total energy: -6.787 eV/atom

```
&SYSTEM
  ibrav = 0, nat = 4, ntyp = 3
/
ATOMIC_SPECIES
Sn 118.71 Sn.upf
Zr 91.22 Zr.upf
Ta 180.95 Ta.upf
CELL_PARAMETERS angstrom
0.0000 3.5233 3.5233
3.5233 0.0000 3.5233
3.5233 3.5233 0.0000
ATOMIC_POSITIONS crystal
Sn 0.0000 0.0000 0.0000
Zr 0.2500 0.2500 0.2500
Ta 0.5000 0.5000 0.5000
Sn 0.7500 0.7500 0.7500
```